Computed, not measured: an optimized crystal structure of CrGaBiO5 at the GGA+U level of DFT.

Lattice parameters (Å, degrees): 6.8179 9.1412 7.2435 90.00 114.96 90.00
Space group C2/c (No. 15)
Asymmetric unit:
Cr (0.0000, 0.0000, 0.0000) [4 per cell]
Ga (0.0000, 0.3185, 0.2500) [4 per cell]
Bi (0.0000, 0.3191, 0.7500) [4 per cell]
O (0.0000, 0.0642, 0.7500) [4 per cell]
O (0.0978, 0.2084, 0.0909) [8 per cell]
O (0.2006, 0.4537, 0.4133) [8 per cell]

Properties
The total moment comes out at 8.00 μB per cell. The density of states at the Fermi level is 0.0285 states/eV/atom. The value obtained for the total energy is -6.435 eV per atom.